1.
# Ho4Co2Bi, optimized geometry, DFT PBE-GGA
# - Total energy: -76.6 eV/cell
# - Space group: No. 1
# - ΔE_f: -270 meV per atom
data_Ho4Co2Bi
_symmetry_space_group_name_H-M 'P 1'
_symmetry_Int_Tables_number 1
_cell_length_a 8.357
_cell_length_b 8.360
_cell_length_c 6.902
_cell_angle_alpha 108.12
_cell_angle_beta 108.13
_cell_angle_gamma 118.82
loop_
_symmetry_equiv_pos_as_xyz
'x,y,z'
loop_
_atom_site_label
_atom_site_type_symbol
_atom_site_fract_x
_atom_site_fract_y
_atom_site_fract_z
_atom_site_occupancy
Co1 Co 0.766 0.894 0.427 1
Co2 Co 0.639 0.290 0.137 1
Co3 Co 0.144 0.518 0.928 1
Co4 Co 0.540 0.388 0.637 1
Ho1 Ho 0.381 0.025 0.222 1
Ho2 Ho 0.447 0.498 0.297 1
Ho3 Ho 0.275 0.130 0.722 1
Ho4 Ho 0.748 0.198 0.797 1
Ho5 Ho 0.466 0.713 0.891 1
Ho6 Ho 0.822 0.658 0.127 1
Ho7 Ho 0.908 0.572 0.627 1
Ho8 Ho 0.962 0.216 0.391 1
Bi1 Bi 0.935 0.967 0.898 1
Bi2 Bi 0.217 0.685 0.398 1



2.
# Co3BiI, optimized geometry, DFT PBE-GGA
# - ΔE_f (raw): 1.367 eV/atom
# - Excess energy over the best structure of this formula in the dataset: 0.158 eV/atom
# - Total energy: -19.9 eV/cell
# - Space group: No. 221
data_Co3BiI
_symmetry_space_group_name_H-M 'P 1'
_symmetry_Int_Tables_number 1
_cell_length_a 5.077
_cell_length_b 5.077
_cell_length_c 5.077
_cell_angle_alpha 90.00
_cell_angle_beta 90.00
_cell_angle_gamma 90.00
loop_
_symmetry_equiv_pos_as_xyz
'x,y,z'
loop_
_atom_site_label
_atom_site_type_symbol
_atom_site_fract_x
_atom_site_fract_y
_atom_site_fract_z
_atom_site_occupancy
I1 I 0.500 0.500 0.500 1
Bi1 Bi 0.000 0.000 0.000 1
Co1 Co 0.000 0.500 0.000 1
Co2 Co 0.000 0.000 0.500 1
Co3 Co 0.500 0.000 0.000 1



3.
# Co2BiI, optimized geometry, DFT PBE-GGA
# - ΔE_f (raw): 0.608 eV/atom
# - Excess energy over the best structure of this formula in the dataset: 0.000 eV/atom
# - Total energy: -34.4 eV/cell
# - Space group: No. 122
data_Co2BiI
_symmetry_space_group_name_H-M 'P 1'
_symmetry_Int_Tables_number 1
_cell_length_a 6.085
_cell_length_b 6.085
_cell_length_c 6.925
_cell_angle_alpha 63.94
_cell_angle_beta 63.94
_cell_angle_gamma 90.00
loop_
_symmetry_equiv_pos_as_xyz
'x,y,z'
loop_
_atom_site_label
_atom_site_type_symbol
_atom_site_fract_x
_atom_site_fract_y
_atom_site_fract_z
_atom_site_occupancy
Bi1 Bi 0.750 0.250 0.500 1
Bi2 Bi 0.000 0.000 0.000 1
Co1 Co 0.875 0.865 0.750 1
Co2 Co 0.375 0.385 0.750 1
Co3 Co 0.135 0.625 0.250 1
Co4 Co 0.615 0.125 0.250 1
I1 I 0.250 0.750 0.500 1
I2 I 0.500 0.500 0.000 1



4.
# Co2BiI8, optimized geometry, DFT PBE-GGA
# - ΔE_f (raw): -0.147 eV/atom
# - Total energy: -32.1 eV/cell
# - Space group: No. 12
data_Co2BiI8
_symmetry_space_group_name_H-M 'P 1'
_symmetry_Int_Tables_number 1
_cell_length_a 7.094
_cell_length_b 8.777
_cell_length_c 8.777
_cell_angle_alpha 78.16
_cell_angle_beta 85.37
_cell_angle_gamma 85.37
loop_
_symmetry_equiv_pos_as_xyz
'x,y,z'
loop_
_atom_site_label
_atom_site_type_symbol
_atom_site_fract_x
_atom_site_fract_y
_atom_site_fract_z
_atom_site_occupancy
I1 I 0.753 0.081 0.714 1
I2 I 0.726 0.197 0.197 1
I3 I 0.247 0.286 0.919 1
I4 I 0.274 0.803 0.803 1
I5 I 0.235 0.372 0.372 1
I6 I 0.765 0.628 0.628 1
I7 I 0.753 0.714 0.081 1
I8 I 0.247 0.919 0.286 1
Co1 Co 0.635 0.804 0.804 1
Co2 Co 0.365 0.196 0.196 1
Bi1 Bi 0.000 0.000 0.000 1



5.
# CoBiI5, optimized geometry, DFT PBE-GGA
# - ΔE_f (raw): -0.205 eV/atom
# - Total energy: -40.3 eV/cell
# - Space group: No. 15
data_CoBiI5
_symmetry_space_group_name_H-M 'P 1'
_symmetry_Int_Tables_number 1
_cell_length_a 8.042
_cell_length_b 8.043
_cell_length_c 11.541
_cell_angle_alpha 111.00
_cell_angle_beta 111.00
_cell_angle_gamma 88.53
loop_
_symmetry_equiv_pos_as_xyz
'x,y,z'
loop_
_atom_site_label
_atom_site_type_symbol
_atom_site_fract_x
_atom_site_fract_y
_atom_site_fract_z
_atom_site_occupancy
I1 I 0.229 0.650 0.333 1
I2 I 0.265 0.305 0.958 1
I3 I 0.605 0.895 0.750 1
I4 I 0.850 0.271 0.167 1
I5 I 0.195 0.235 0.542 1
I6 I 0.735 0.695 0.042 1
I7 I 0.150 0.729 0.833 1
I8 I 0.395 0.105 0.250 1
I9 I 0.771 0.350 0.667 1
I10 I 0.805 0.765 0.458 1
Bi1 Bi 0.500 0.000 0.000 1
Bi2 Bi 0.500 0.000 0.500 1
Co1 Co 0.117 0.383 0.750 1
Co2 Co 0.883 0.617 0.250 1



6.
# CoBiI, optimized geometry, DFT PBE-GGA
# - ΔE_f (raw): 0.226 eV/atom
# - Total energy: -47.4 eV/cell
# - Space group: No. 63
data_CoBiI
_symmetry_space_group_name_H-M 'P 1'
_symmetry_Int_Tables_number 1
_cell_length_a 5.334
_cell_length_b 7.750
_cell_length_c 7.679
_cell_angle_alpha 104.63
_cell_angle_beta 90.00
_cell_angle_gamma 90.00
loop_
_symmetry_equiv_pos_as_xyz
'x,y,z'
loop_
_atom_site_label
_atom_site_type_symbol
_atom_site_fract_x
_atom_site_fract_y
_atom_site_fract_z
_atom_site_occupancy
Bi1 Bi 0.250 0.778 0.614 1
Bi2 Bi 0.250 0.278 0.614 1
Bi3 Bi 0.750 0.222 0.386 1
Bi4 Bi 0.750 0.722 0.386 1
I1 I 0.250 0.901 0.103 1
I2 I 0.250 0.401 0.103 1
I3 I 0.750 0.599 0.897 1
I4 I 0.750 0.099 0.897 1
Co1 Co 0.250 0.087 0.851 1
Co2 Co 0.750 0.413 0.149 1
Co3 Co 0.750 0.913 0.149 1
Co4 Co 0.250 0.587 0.851 1



7.
# Co3BiI, optimized geometry, DFT PBE-GGA
# - ΔE_f (raw): 1.210 eV/atom
# - Excess energy over the best structure of this formula in the dataset: 0.000 eV/atom
# - Total energy: -20.7 eV/cell
# - Space group: No. 221
data_Co3BiI
_symmetry_space_group_name_H-M 'P 1'
_symmetry_Int_Tables_number 1
_cell_length_a 4.649
_cell_length_b 4.649
_cell_length_c 4.649
_cell_angle_alpha 90.00
_cell_angle_beta 90.00
_cell_angle_gamma 90.00
loop_
_symmetry_equiv_pos_as_xyz
'x,y,z'
loop_
_atom_site_label
_atom_site_type_symbol
_atom_site_fract_x
_atom_site_fract_y
_atom_site_fract_z
_atom_site_occupancy
Co1 Co 0.500 0.000 0.000 1
Co2 Co 0.000 0.000 0.500 1
Co3 Co 0.000 0.500 0.000 1
Bi1 Bi 0.500 0.500 0.500 1
I1 I 0.000 0.000 0.000 1



8.
# Co2BiI, optimized geometry, DFT PBE-GGA
# - ΔE_f (raw): 0.818 eV/atom
# - Excess energy over the best structure of this formula in the dataset: 0.209 eV/atom
# - Total energy: -16.4 eV/cell
# - Space group: No. 225
data_Co2BiI
_symmetry_space_group_name_H-M 'P 1'
_symmetry_Int_Tables_number 1
_cell_length_a 4.736
_cell_length_b 4.736
_cell_length_c 4.736
_cell_angle_alpha 60.00
_cell_angle_beta 60.00
_cell_angle_gamma 60.00
loop_
_symmetry_equiv_pos_as_xyz
'x,y,z'
loop_
_atom_site_label
_atom_site_type_symbol
_atom_site_fract_x
_atom_site_fract_y
_atom_site_fract_z
_atom_site_occupancy
I1 I 0.000 0.000 0.000 1
Bi1 Bi 0.500 0.500 0.500 1
Co1 Co 0.250 0.250 0.250 1
Co2 Co 0.750 0.750 0.750 1



9.
# In2CoBiI, optimized geometry, DFT PBE-GGA
# - ΔE_f (raw): -0.026 eV/atom
# - Excess energy over the best structure of this formula in the dataset: 0.000 eV/atom
# - Total energy: -18.1 eV/cell
# - Space group: No. 123
data_In2CoBiI
_symmetry_space_group_name_H-M 'P 1'
_symmetry_Int_Tables_number 1
_cell_length_a 5.175
_cell_length_b 5.175
_cell_length_c 5.067
_cell_angle_alpha 90.00
_cell_angle_beta 90.00
_cell_angle_gamma 90.00
loop_
_symmetry_equiv_pos_as_xyz
'x,y,z'
loop_
_atom_site_label
_atom_site_type_symbol
_atom_site_fract_x
_atom_site_fract_y
_atom_site_fract_z
_atom_site_occupancy
Co1 Co 0.000 0.000 0.000 1
I1 I 0.500 0.500 0.500 1
In1 In 0.000 0.500 0.000 1
In2 In 0.500 0.000 0.000 1
Bi1 Bi 0.000 0.000 0.500 1



10.
# In2CoBiI, optimized geometry, DFT PBE-GGA
# - ΔE_f (raw): 0.352 eV/atom
# - Excess energy over the best structure of this formula in the dataset: 0.377 eV/atom
# - Total energy: -16.3 eV/cell
# - Space group: No. 123
data_In2CoBiI
_symmetry_space_group_name_H-M 'P 1'
_symmetry_Int_Tables_number 1
_cell_length_a 4.983
_cell_length_b 4.983
_cell_length_c 5.203
_cell_angle_alpha 90.00
_cell_angle_beta 90.00
_cell_angle_gamma 90.00
loop_
_symmetry_equiv_pos_as_xyz
'x,y,z'
loop_
_atom_site_label
_atom_site_type_symbol
_atom_site_fract_x
_atom_site_fract_y
_atom_site_fract_z
_atom_site_occupancy
Bi1 Bi 0.500 0.500 0.500 1
In1 In 0.500 0.000 0.000 1
In2 In 0.000 0.500 0.000 1
Co1 Co 0.000 0.000 0.000 1
I1 I 0.000 0.000 0.500 1



11.
# CoBi2IN, optimized geometry, DFT PBE-GGA
# - ΔE_f (raw): 1.128 eV/atom
# - Total energy: -19.1 eV/cell
# - Space group: No. 123
data_CoBi2IN
_symmetry_space_group_name_H-M 'P 1'
_symmetry_Int_Tables_number 1
_cell_length_a 4.861
_cell_length_b 5.006
_cell_length_c 4.861
_cell_angle_alpha 90.00
_cell_angle_beta 90.00
_cell_angle_gamma 90.00
loop_
_symmetry_equiv_pos_as_xyz
'x,y,z'
loop_
_atom_site_label
_atom_site_type_symbol
_atom_site_fract_x
_atom_site_fract_y
_atom_site_fract_z
_atom_site_occupancy
Bi1 Bi 0.000 0.000 0.500 1
Bi2 Bi 0.500 0.000 0.000 1
I1 I 0.000 0.500 0.000 1
N1 N 0.000 0.000 0.000 1
Co1 Co 0.500 0.500 0.500 1



12.
# CoBiI2N, optimized geometry, DFT PBE-GGA
# - ΔE_f (raw): 0.480 eV/atom
# - Excess energy over the best structure of this formula in the dataset: 0.000 eV/atom
# - Total energy: -20.0 eV/cell
# - Space group: No. 123
data_CoBiI2N
_symmetry_space_group_name_H-M 'P 1'
_symmetry_Int_Tables_number 1
_cell_length_a 5.679
_cell_length_b 5.679
_cell_length_c 3.547
_cell_angle_alpha 90.00
_cell_angle_beta 90.00
_cell_angle_gamma 90.00
loop_
_symmetry_equiv_pos_as_xyz
'x,y,z'
loop_
_atom_site_label
_atom_site_type_symbol
_atom_site_fract_x
_atom_site_fract_y
_atom_site_fract_z
_atom_site_occupancy
I1 I 0.000 0.500 0.000 1
I2 I 0.500 0.000 0.000 1
N1 N 0.000 0.000 0.500 1
Co1 Co 0.000 0.000 0.000 1
Bi1 Bi 0.500 0.500 0.500 1



Number 1: N(E_F) 4.5 states/eV/f.u.. Number 2: N(E_F) 5.6 states/eV/f.u.. Number 3: N(E_F) 4.7 states/eV/f.u.. Number 4: N(E_F) 10.3 states/eV/f.u.. Number 5: N(E_F) 1.2 states/eV/f.u.. Number 6: N(E_F) 1.4 states/eV/f.u.. Number 7: N(E_F) 10.5 states/eV/f.u.. Number 8: N(E_F) 11.3 states/eV/f.u.. Number 9: N(E_F) 3.3 states/eV/f.u.. Number 10: N(E_F) 4.6 states/eV/f.u.. Number 11: N(E_F) 5.4 states/eV/f.u.. Number 12: N(E_F) 4.8 states/eV/f.u..